[1]
The following is a PBE calculation of a geometry-optimized Zn7Ag3Au structure, from Alexandria.

Calculated values
Energy of formation from the pure elements, eV per atom: 0.028
DOS(E_F), states/eV/cell: 7.4
Volume, A^3/atom: 17.53
Spin magnetization, μB/f.u.: 0.0
Polymorph energy (0 for the lowest one), eV/f.u.: 0.68

a = 9.4447 Å, b = 9.1448 Å, c = 4.9644 Å
α = 90.00°, β = 115.93°, γ = 90.00°
Space group C2/m (No. 12)
Unique sites:
Zn: 0.0000 0.0000 0.0000 x2
Zn: 0.1749 0.2551 0.6692 x8
Zn: 0.2207 0.5000 0.0512 x4
Ag: 0.0000 0.2972 0.0000 x4
Ag: 0.0000 0.5000 0.5000 x2
Au: 0.0000 0.0000 0.5000 x2

---

[2]
The following is a PBE calculation of a geometry-optimized K3NiBi structure, from Alexandria.

Calculated values
Energy of formation from the pure elements, eV per atom: 0.459
DOS(E_F), states/eV/cell: 19.4
Volume, A^3/atom: 44.30
Spin magnetization, μB/f.u.: 1.3
Polymorph energy (0 for the lowest one), eV/f.u.: 0.00

a = 6.0506 Å, b = 6.0506 Å, c = 6.0506 Å
α = 90.00°, β = 90.00°, γ = 90.00°
Space group Pm-3m (No. 221)
Unique sites:
K: 0.0000 0.0000 0.5000 x3
Ni: 0.0000 0.0000 0.0000 x1
Bi: 0.5000 0.5000 0.5000 x1